1.
Crystalline NaSrSn at its relaxed geometry, computed with PBE.

POSCAR file:
```
NaSrSn
1.0
-2.7113 3.8528 4.6470
2.7113 -3.8528 4.6470
2.7113 3.8528 -4.6470
Na Sr Sn
2 2 2
Direct
0.2255 0.0000 0.2255 Na
0.7745 0.0000 0.7745 Na
0.1859 0.6859 0.5000 Sr
0.6424 0.6424 0.0000 Sr
0.0420 0.3327 0.7093 Sn
0.6235 0.3327 0.2907 Sn
```

## Properties
Energy of formation from the pure elements = -0.394 eV/atom
Polymorph energy (0 for the lowest one) = 0.018 eV/atom
DOS(E_F) = 0.9 states/eV per cell

2.
Crystalline KLiGa2Cl4 at its relaxed geometry, computed with PBE.

POSCAR file:
```
KLiGa2Cl4
1.0
-4.2478 4.2679 6.0057
4.2478 -4.2679 6.0057
4.2478 4.2679 -6.0057
K Li Ga Cl
2 2 4 8
Direct
0.5000 0.0000 0.0000 K
0.5000 0.5000 0.5000 K
0.0000 0.0000 0.0000 Li
0.5000 0.0000 0.5000 Li
0.0000 0.0000 0.5000 Ga
0.0000 0.5000 0.0000 Ga
0.0000 0.5000 0.5000 Ga
0.5000 0.5000 0.0000 Ga
0.2035 0.2086 0.9949 Cl
0.2470 0.2452 0.4982 Cl
0.2470 0.7487 0.0018 Cl
0.2862 0.7914 0.4949 Cl
0.7138 0.2086 0.5051 Cl
0.7530 0.2513 0.9982 Cl
0.7530 0.7548 0.5018 Cl
0.7965 0.7914 0.0051 Cl
```

## Properties
Formation energy without anion corrections = -118.0 kJ/mol of atoms
DOS(E_F) = 0.0 states/eV per cell

3.
Crystalline Pa2Co3Ni4 at its relaxed geometry, computed with PBE.

POSCAR file:
```
Pa2Co3Ni4
1.0
0.0000 4.2024 6.2387
2.3872 0.0000 6.2387
2.3872 4.2024 0.0000
Pa Co Ni
2 3 4
Direct
0.1316 0.1316 0.8684 Pa
0.8684 0.8684 0.1316 Pa
0.0000 0.0000 0.5000 Co
0.5000 0.5000 0.0000 Co
0.5000 0.5000 0.5000 Co
0.1662 0.4898 0.5102 Ni
0.4898 0.1662 0.8338 Ni
0.5102 0.8338 0.1662 Ni
0.8338 0.5102 0.4898 Ni
```

## Properties
Energy of formation from the pure elements = -0.365 eV/atom
DOS(E_F) = 7.8 states/eV per cell

4.
Crystalline La6PmPrSm2 at its relaxed geometry, computed with PBE.

POSCAR file:
```
La6PmPrSm2
1.0
5.7679 -3.5439 0.0000
5.7679 3.5439 0.0000
-2.6820 0.0000 8.8762
La Pm Pr Sm
6 1 1 2
Direct
0.0749 0.5389 0.1985 La
0.1286 0.1286 0.4232 La
0.4611 0.9251 0.8015 La
0.5389 0.0749 0.1985 La
0.8714 0.8714 0.5768 La
0.9251 0.4611 0.8015 La
0.5000 0.5000 0.5000 Pm
0.0000 0.0000 0.0000 Pr
0.4230 0.4230 0.8287 Sm
0.5770 0.5770 0.1713 Sm
```

## Properties
Energy of formation from the pure elements = 0.178 eV/atom
DOS(E_F) = 18.7 states/eV per cell

| no. | uncorrected energy (eV/atom) |
| --- | --- |
| 1 | -2.729 |
| 2 | -3.279 |
| 3 | -7.413 |
| 4 | -4.676 |